Entry 1:
Computed, not measured: a geometry-optimized Sr4CaSc structure at the PBE level of DFT.

Computed properties:
Volume (Å³/f.u.): 287.0
Energy of formation (eV/atom): 0.43
Electronic total energy (eV per atom): -2.081
Symmetry: F-43m (216)
Fermi-level density of states (states/eV/cell): 11.537

a = 7.404 Å, b = 7.404 Å, c = 7.404 Å
α = 60.00°, β = 60.00°, γ = 60.00°
Fractional coordinates of all 6 atoms:
Sr (0.374, 0.374, 0.877)
Sr (0.877, 0.374, 0.374)
Sc (0.000, 0.000, 0.000)
Sr (0.374, 0.374, 0.374)
Sr (0.374, 0.877, 0.374)
Ca (0.750, 0.750, 0.750)

=====

Entry 2:
Computed, not measured: a geometry-optimized Sc4Tl2H structure at the PBE level of DFT.

Computed properties:
Volume (Å³/f.u.): 144.4
Electronic total energy (eV per atom): -5.101
Symmetry: P2_1/m (11)
ΔE to the lowest computed polymorph (meV per atom): 0
Fermi-level density of states (states/eV/cell): 9.556

a = 5.544 Å, b = 6.314 Å, c = 9.295 Å
α = 90.00°, β = 117.43°, γ = 90.00°
Fractional coordinates of all 14 atoms:
H (0.319, 0.750, 0.205)
Sc (0.583, 0.004, 0.272)
Tl (0.702, 0.750, 0.041)
Tl (0.827, 0.750, 0.586)
Sc (0.828, 0.250, 0.625)
Sc (0.888, 0.250, 0.056)
Tl (0.173, 0.250, 0.414)
Sc (0.112, 0.750, 0.944)
H (0.681, 0.250, 0.795)
Sc (0.172, 0.750, 0.375)
Sc (0.417, 0.996, 0.728)
Tl (0.298, 0.250, 0.959)
Sc (0.583, 0.496, 0.272)
Sc (0.417, 0.504, 0.728)

=====

Entry 3:
Computed, not measured: a geometry-optimized LiAcLaTm structure at the PBE level of DFT.

Computed properties:
Volume (Å³/f.u.): 134.7
Energy of formation (eV/atom): 0.13
Electronic total energy (eV per atom): -3.729
Symmetry: F-43m (216)
Fermi-level density of states (states/eV/cell): 4.235

a = 5.754 Å, b = 5.754 Å, c = 5.754 Å
α = 60.00°, β = 60.00°, γ = 60.00°
Fractional coordinates of all 4 atoms:
La (0.250, 0.250, 0.250)
Ac (0.750, 0.750, 0.750)
Li (0.000, 0.000, 0.000)
Tm (0.500, 0.500, 0.500)

=====

Entry 4:
Computed, not measured: a geometry-optimized Mg2IrF structure at the PBE level of DFT.

Computed properties:
Volume (Å³/f.u.): 61.8
Electronic total energy (eV per atom): -4.463
Symmetry: I-42d (122)
ΔE to the lowest computed polymorph (meV per atom): 0
Fermi-level density of states (states/eV/cell): 2.808

a = 6.133 Å, b = 6.133 Å, c = 5.440 Å
α = 55.69°, β = 55.69°, γ = 90.00°
Fractional coordinates of all 8 atoms:
Mg (0.375, 0.450, 0.750)
Mg (0.875, 0.800, 0.750)
Ir (0.750, 0.250, 0.500)
F (0.250, 0.750, 0.500)
Mg (0.200, 0.625, 0.250)
Mg (0.550, 0.125, 0.250)
Ir (0.000, 0.000, 0.000)
F (0.500, 0.500, 0.000)

=====

Entry 5:
Computed, not measured: a geometry-optimized Na3CdSb2 structure at the PBE level of DFT.

Computed properties:
Volume (Å³/f.u.): 206.5
Electronic total energy (eV per atom): -2.397
Symmetry: Ibam (72)
Fermi-level density of states (states/eV/cell): 11.680

a = 7.276 Å, b = 7.989 Å, c = 8.926 Å
α = 116.59°, β = 114.05°, γ = 90.00°
Fractional coordinates of all 12 atoms:
Sb (0.594, 0.369, 0.738)
Na (0.767, 0.017, 0.534)
Na (0.500, 0.250, 0.000)
Sb (0.406, 0.631, 0.262)
Sb (0.857, 0.131, 0.262)
Na (0.500, 0.750, 0.000)
Cd (0.000, 0.500, 0.000)
Cd (0.000, 0.000, 0.000)
Na (0.233, 0.483, 0.466)
Na (0.233, 0.983, 0.466)
Na (0.767, 0.517, 0.534)
Sb (0.143, 0.869, 0.738)

=====

Entry 6:
Computed, not measured: a geometry-optimized AcPm5Au6 structure at the PBE level of DFT.

Computed properties:
Volume (Å³/f.u.): 311.8
Energy of formation (eV/atom): -0.77
Electronic total energy (eV per atom): -4.733
Symmetry: P2/m (10)
Fermi-level density of states (states/eV/cell): 8.122

a = 5.283 Å, b = 7.415 Å, c = 8.406 Å
α = 90.00°, β = 108.73°, γ = 90.00°
Fractional coordinates of all 12 atoms:
Au (0.171, 0.256, 0.346)
Au (0.171, 0.744, 0.346)
Pm (0.335, 0.500, 0.668)
Au (0.500, 0.734, 0.000)
Ac (0.000, 0.000, 0.000)
Pm (0.000, 0.500, 0.000)
Au (0.500, 0.266, 0.000)
Au (0.829, 0.744, 0.654)
Pm (0.665, 0.500, 0.332)
Au (0.829, 0.256, 0.654)
Pm (0.333, 0.000, 0.664)
Pm (0.667, 0.000, 0.336)

=====

Entry 7:
Computed, not measured: a geometry-optimized CaAcCu4 structure at the PBE level of DFT.

Computed properties:
Volume (Å³/f.u.): 129.9
Energy of formation (eV/atom): -0.15
Electronic total energy (eV per atom): -3.899
Symmetry: I-4m2 (119)
ΔE to the lowest computed polymorph (meV per atom): 0
Fermi-level density of states (states/eV/cell): 2.652

a = 4.158 Å, b = 4.158 Å, c = 8.067 Å
α = 104.94°, β = 104.94°, γ = 90.00°
Fractional coordinates of all 6 atoms:
Cu (0.585, 0.585, 0.170)
Ac (0.000, 0.000, 0.000)
Ca (0.250, 0.750, 0.500)
Cu (0.830, 0.330, 0.661)
Cu (0.415, 0.415, 0.830)
Cu (0.670, 0.170, 0.339)

=====

Entry 8:
Computed, not measured: a geometry-optimized KNaGa2Bi2 structure at the PBE level of DFT.

Computed properties:
Volume (Å³/f.u.): 188.1
Energy of formation (eV/atom): -0.24
Electronic total energy (eV per atom): -2.944
Symmetry: P-3m1 (164)
Fermi-level density of states (states/eV/cell): 1.244

a = 5.121 Å, b = 5.121 Å, c = 8.284 Å
α = 90.00°, β = 90.00°, γ = 120.00°
Fractional coordinates of all 6 atoms:
K (0.000, 0.000, 0.000)
Ga (0.333, 0.667, 0.634)
Bi (0.333, 0.667, 0.278)
Na (0.000, 0.000, 0.500)
Ga (0.667, 0.333, 0.366)
Bi (0.667, 0.333, 0.722)